(1)
Material: Pm4GaIr
Method: DFT, PBE
State: relaxed

```
Pm4GaIr
1.0
-5.7618 4.0627 -0.6229
-4.1341 -5.8211 0.2736
-0.5732 0.7481 7.2547
Ga Ir Pm
2 2 8
Direct
0.5000 0.0000 0.5000 Ga
0.0000 0.5000 0.5000 Ga
0.5000 0.5000 0.0000 Ir
0.0000 0.0000 0.0000 Ir
0.3594 0.3463 0.3254 Pm
0.3289 0.8399 0.1509 Pm
0.6711 0.1601 0.8491 Pm
0.6406 0.6537 0.6746 Pm
0.1406 0.8463 0.6746 Pm
0.8289 0.6601 0.1509 Pm
0.8594 0.1537 0.3254 Pm
0.1711 0.3399 0.8491 Pm
```

Computed properties:
The value obtained for the total magnetization is 0.0 μB/f.u. The value obtained for the relative energy among the computed polymorphs is 0.119 eV per atom. The energy of formation from the pure elements comes out at -0.377 eV per atom.

(2)
Material: InCoRe
Method: DFT, PBE
State: relaxed

```
InCoRe
1.0
-5.2760 -2.5470 1.3354
-5.0827 -2.8393 -1.4870
0.6445 -2.7505 0.3290
Re Co In
1 1 1
Direct
0.6449 0.6449 0.3551 Re
0.0148 0.0148 0.9852 Co
0.3402 0.3402 0.6598 In
```

Computed properties:
The value obtained for the total magnetization is 0.3 μB/f.u. The value obtained for the relative energy among the computed polymorphs is 0.000 eV per atom. The energy of formation from the pure elements comes out at 0.255 eV per atom.

(3)
Material: KTl3Se2
Method: DFT, PBE
State: relaxed

```
KTl3Se2
1.0
4.3222 0.0000 0.0000
-2.1611 8.2003 -3.8770
0.0000 1.7501 10.8197
Se Tl K
4 6 2
Direct
0.5507 0.1015 0.8573 Se
0.7558 0.5116 0.3082 Se
0.2442 0.4884 0.6918 Se
0.4493 0.8985 0.1427 Se
0.6586 0.3172 0.5029 Tl
0.3414 0.6828 0.4971 Tl
0.7134 0.4269 0.8809 Tl
0.2866 0.5731 0.1191 Tl
0.9476 0.8952 0.3330 Tl
0.0524 0.1048 0.6670 Tl
0.9056 0.8111 0.8739 K
0.0944 0.1889 0.1261 K
```

Computed properties:
The value obtained for the total magnetization is 0.0 μB/f.u. As for the uncorrected formation energy: -0.5496 eV/atom. The value obtained for the relative energy among the computed polymorphs is 0.000 eV per atom.

(4)
Material: Ho12Sc7Tl
Method: DFT, PBE
State: relaxed

```
Ho12Sc7Tl
1.0
8.4728 0.3070 0.4608
-2.0611 8.2240 0.4608
-2.0611 -2.7423 7.7670
Ho Sc Tl
12 7 1
Direct
0.9200 0.6728 0.6523 Ho
0.0800 0.3272 0.3477 Ho
0.7613 0.4950 0.2378 Ho
0.5050 0.7622 0.2387 Ho
0.2378 0.7613 0.4950 Ho
0.6728 0.6523 0.9200 Ho
0.3477 0.0800 0.3272 Ho
0.2387 0.5050 0.7622 Ho
0.3272 0.3477 0.0800 Ho
0.6523 0.9200 0.6728 Ho
0.4950 0.2378 0.7613 Ho
0.7622 0.2387 0.5050 Ho
0.0934 0.6816 0.0895 Sc
0.9066 0.3184 0.9105 Sc
0.5000 0.5000 0.5000 Sc
0.6816 0.0895 0.0934 Sc
0.9105 0.9066 0.3184 Sc
0.3184 0.9105 0.9066 Sc
0.0895 0.0934 0.6816 Sc
0.0000 0.0000 0.0000 Tl
```

Computed properties:
The value obtained for the total magnetization is 0.0 μB/f.u. The energy of formation from the pure elements comes out at 0.065 eV per atom.

(5)
Material: AcSmTm2Hg4
Method: DFT, PBE
State: relaxed

```
AcSmTm2Hg4
1.0
-1.5800 -1.3396 -4.9186
3.5281 -0.0934 -4.0034
2.4426 -9.1370 -1.1916
Sm Hg Ac Tm
1 4 1 2
Direct
0.5000 0.5000 0.5000 Sm
0.3829 0.3829 0.8512 Hg
0.8724 0.8724 0.3829 Hg
0.1276 0.1276 0.6171 Hg
0.6171 0.6171 0.1488 Hg
0.0000 0.0000 0.0000 Ac
0.2459 0.2459 0.2622 Tm
0.7541 0.7541 0.7378 Tm
```

Computed properties:
The value obtained for the total magnetization is 0.0 μB/f.u. The energy of formation from the pure elements comes out at -0.438 eV per atom.

(6)
Material: Ba2HoErSe4
Method: DFT, PBE
State: relaxed

```
Ba2HoErSe4
1.0
-1.8280 3.8454 -0.3168
-1.6790 -0.2071 7.1749
7.0220 3.2719 -0.8036
Ba Ho Se Er
2 1 4 1
Direct
0.5000 0.0000 0.5000 Ba
0.0000 0.5000 0.5000 Ba
0.5000 0.5000 0.0000 Ho
0.0000 0.2624 0.7904 Se
0.0000 0.7376 0.2096 Se
0.5000 0.2357 0.2092 Se
0.5000 0.7643 0.7908 Se
0.0000 0.0000 0.0000 Er
```

Computed properties:
The value obtained for the total magnetization is 0.0 μB/f.u. As for the uncorrected formation energy: -1.8598 eV/atom.